[1]
VASP calculation (PBE-GGA) on a geometry-optimized Cr2HgS structure.

a = 5.186 Å, b = 5.186 Å, c = 8.044 Å
α = 71.20°, β = 71.20°, γ = 90.00°
Last column: magnetic moment on the atom in μB.
Fractional coordinates of all 8 atoms:
Cr: 0.530 0.125 0.250  3.75
Cr: 0.220 0.625 0.250  3.75
Cr: 0.375 0.470 0.750  3.74
Cr: 0.875 0.780 0.750  3.77
S: 0.500 0.500 0.000  -0.11
S: 0.250 0.750 0.500  -0.11
Hg: 0.000 0.000 0.000  0.07
Hg: 0.750 0.250 0.500  0.08

Summary:
symmetry: I-42d
raw total energy: -5.528 eV per atom
density of states at the Fermi level: 7.20 states/eV per cell

[2]
VASP calculation (PBE-GGA) on a geometry-optimized CrHgS2 structure.

a = 3.458 Å, b = 3.458 Å, c = 8.270 Å
α = 77.93°, β = 77.93°, γ = 60.00°
Last column: magnetic moment on the atom in μB.
Fractional coordinates of all 4 atoms:
Cr: 0.500 0.500 0.500  2.55
Hg: 0.000 0.000 0.000  -0.06
S: 0.114 0.114 0.658  -0.11
S: 0.886 0.886 0.342  -0.11

Summary:
symmetry: R-3m
raw total energy: -4.958 eV per atom
density of states at the Fermi level: 1.82 states/eV per cell

[3]
VASP calculation (PBE-GGA) on a geometry-optimized CrHgS2 structure.

a = 10.978 Å, b = 10.978 Å, c = 10.978 Å
α = 15.32°, β = 15.32°, γ = 15.32°
Last column: magnetic moment on the atom in μB.
Fractional coordinates of all 4 atoms:
Cr: 0.000 0.000 0.000  2.69
S: 0.932 0.932 0.932  -0.04
S: 0.068 0.068 0.068  -0.04
Hg: 0.500 0.500 0.500  -0.01

Summary:
symmetry: R-3m
raw total energy: -4.044 eV per atom
density of states at the Fermi level: 3.15 states/eV per cell

[4]
VASP calculation (PBE-GGA) on a geometry-optimized CrHg3S structure.

a = 5.287 Å, b = 5.287 Å, c = 5.287 Å
α = 90.00°, β = 90.00°, γ = 90.00°
Last column: magnetic moment on the atom in μB.
Fractional coordinates of all 5 atoms:
Cr: 0.500 0.500 0.500  4.29
S: 0.000 0.000 0.000  0.02
Hg: 0.000 0.500 0.000  0.00
Hg: 0.000 0.000 0.500  0.01
Hg: 0.500 0.000 0.000  0.00

Summary:
symmetry: Pm-3m
raw total energy: -2.146 eV per atom
density of states at the Fermi level: 2.28 states/eV per cell
excess energy over the best structure of this formula in the dataset: 100 meV per atom

[5]
VASP calculation (PBE-GGA) on a geometry-optimized CrHg2S2 structure.

a = 5.223 Å, b = 5.223 Å, c = 5.626 Å
α = 62.34°, β = 62.34°, γ = 90.00°
Last column: magnetic moment on the atom in μB.
Fractional coordinates of all 5 atoms:
Cr: 0.000 0.000 0.000  4.11
S: 0.750 0.250 0.500  -0.06
S: 0.250 0.750 0.500  -0.06
Hg: 0.337 0.337 0.325  -0.02
Hg: 0.663 0.663 0.675  -0.02

Summary:
symmetry: I4/mmm
raw total energy: -3.184 eV per atom
density of states at the Fermi level: 3.38 states/eV per cell
excess energy over the best structure of this formula in the dataset: 60 meV per atom

[6]
VASP calculation (PBE-GGA) on a geometry-optimized CrHgS2 structure.

a = 6.771 Å, b = 6.771 Å, c = 6.806 Å
α = 60.17°, β = 60.17°, γ = 90.00°
Fractional coordinates of all 8 atoms:
Cr: 0.500 0.500 0.000
Cr: 0.250 0.750 0.500
S: 0.426 0.125 0.250
S: 0.324 0.625 0.250
S: 0.375 0.574 0.750
S: 0.875 0.676 0.750
Hg: 0.000 0.000 0.000
Hg: 0.750 0.250 0.500

Summary:
symmetry: I-42d
raw total energy: -4.694 eV per atom
density of states at the Fermi level: 6.42 states/eV per cell